*A*
# NaH3Au PBE-GGA optimized geometry
data_NaH3Au
_space_group_name_H-M_alt 'P 1 21/c 1'
_space_group_IT_number 14
_cell_length_a 6.4902
_cell_length_b 6.0400
_cell_length_c 7.3248
_cell_angle_alpha 90.00
_cell_angle_beta 124.33
_cell_angle_gamma 90.00
loop_
_space_group_symop_operation_xyz
'x,y,z'
'-x,-y,-z'
'-x,y+1/2,-z+1/2'
'x,-y+1/2,z+1/2'
loop_
_atom_site_label
_atom_site_type_symbol
_atom_site_fract_x
_atom_site_fract_y
_atom_site_fract_z
Na1 Na 0.2138 0.2490 0.1084
H1 H 0.0084 0.5535 0.2531
H2 H 0.2719 0.7490 0.6350
H3 H 0.4473 0.1823 0.4752
Au1 Au 0.2766 0.6962 0.3871
# V	11.86	A^3/atom
# mass density	6.25	g/cm3

---

*B*
# NaH3Au PBE-GGA optimized geometry
data_NaH3Au
_space_group_name_H-M_alt 'P 1'
_space_group_IT_number 1
_cell_length_a 3.5843
_cell_length_b 5.4302
_cell_length_c 7.0481
_cell_angle_alpha 90.03
_cell_angle_beta 90.04
_cell_angle_gamma 109.26
loop_
_space_group_symop_operation_xyz
'x,y,z'
loop_
_atom_site_label
_atom_site_type_symbol
_atom_site_fract_x
_atom_site_fract_y
_atom_site_fract_z
Na1 Na 0.0000 0.0000 0.0000
Na2 Na 0.3892 0.7811 0.5002
H1 H 0.0525 0.1071 0.4453
H2 H 0.0536 0.1083 0.5535
H3 H 0.5471 0.0953 0.7927
H4 H 0.5475 0.0960 0.2064
H5 H 0.8667 0.7379 0.2657
H6 H 0.8680 0.7370 0.7336
Au1 Au 0.7081 0.4190 0.2298
Au2 Au 0.7085 0.4182 0.7693
# V	12.95	A^3/atom
# mass density	5.72	g/cm3

---

*C*
# NaH3Au PBE-GGA optimized geometry
data_NaH3Au
_space_group_name_H-M_alt 'A m m 2'
_space_group_IT_number 38
_cell_length_a 2.9620
_cell_length_b 4.5119
_cell_length_c 10.8187
_cell_angle_alpha 90.00
_cell_angle_beta 90.00
_cell_angle_gamma 90.00
loop_
_space_group_symop_operation_xyz
'x,y,z'
'-x,-y,z'
'-x,y,z'
'x,-y,z'
'x,y+1/2,z+1/2'
'-x,-y+1/2,z+1/2'
'-x,y+1/2,z+1/2'
'x,-y+1/2,z+1/2'
loop_
_atom_site_label
_atom_site_type_symbol
_atom_site_fract_x
_atom_site_fract_y
_atom_site_fract_z
Na1 Na 0.0000 0.0000 0.0000
H1 H 0.0000 0.2362 0.6864
H2 H 0.5000 0.0000 0.8664
Au1 Au 0.5000 0.0000 0.6993
# V	14.46	A^3/atom
# mass density	5.12	g/cm3

---

Last place for stability: *C*

---

*A*
# NaH3Au PBE-GGA optimized geometry
data_NaH3Au
_space_group_name_H-M_alt 'C 1 2/c 1'
_space_group_IT_number 15
_cell_length_a 9.7107
_cell_length_b 8.8388
_cell_length_c 6.5862
_cell_angle_alpha 90.00
_cell_angle_beta 111.70
_cell_angle_gamma 90.00
loop_
_space_group_symop_operation_xyz
'x,y,z'
'-x,-y,-z'
'-x,y,-z+1/2'
'x,-y,z+1/2'
'x+1/2,y+1/2,z'
'-x+1/2,-y+1/2,-z'
'-x+1/2,y+1/2,-z+1/2'
'x+1/2,-y+1/2,z+1/2'
loop_
_atom_site_label
_atom_site_type_symbol
_atom_site_fract_x
_atom_site_fract_y
_atom_site_fract_z
Na1 Na 0.2499 0.1258 0.2430
H1 H 0.0996 0.2341 0.4153
H2 H 0.1016 0.4995 0.4117
H3 H 0.1841 0.1202 0.8520
Au1 Au 0.0000 0.1199 0.7500
Au2 Au 0.0000 0.3666 0.2500
# V	13.13	A^3/atom
# mass density	5.64	g/cm3

---

*B*
# NaH3Au PBE-GGA optimized geometry
data_NaH3Au
_space_group_name_H-M_alt 'C 1 2/c 1'
_space_group_IT_number 15
_cell_length_a 10.2620
_cell_length_b 8.3164
_cell_length_c 5.9469
_cell_angle_alpha 90.00
_cell_angle_beta 108.13
_cell_angle_gamma 90.00
loop_
_space_group_symop_operation_xyz
'x,y,z'
'-x,-y,-z'
'-x,y,-z+1/2'
'x,-y,z+1/2'
'x+1/2,y+1/2,z'
'-x+1/2,-y+1/2,-z'
'-x+1/2,y+1/2,-z+1/2'
'x+1/2,-y+1/2,z+1/2'
loop_
_atom_site_label
_atom_site_type_symbol
_atom_site_fract_x
_atom_site_fract_y
_atom_site_fract_z
Na1 Na 0.0000 0.0815 0.2500
Na2 Na 0.0000 0.3854 0.7500
H1 H 0.0781 0.1592 0.6170
H2 H 0.0836 0.3449 0.2222
H3 H 0.2462 0.4618 0.0649
Au1 Au 0.2486 0.1505 0.6930
# V	12.06	A^3/atom
# mass density	6.14	g/cm3

---

Last place for stability: *B*

---

*A*
# Na3H4Au PBE-GGA optimized geometry
data_Na3H4Au
_space_group_name_H-M_alt 'P -4 3 m'
_space_group_IT_number 215
_space_group_name_Hall 'P -4 2 3'
_cell_length_a 4.8976
_cell_length_b 4.8976
_cell_length_c 4.8976
_cell_angle_alpha 90.00
_cell_angle_beta 90.00
_cell_angle_gamma 90.00
loop_
_atom_site_label
_atom_site_type_symbol
_atom_site_fract_x
_atom_site_fract_y
_atom_site_fract_z
Na1 Na 0.0000 0.0000 0.5000
H1 H 0.2882 0.2882 0.7118
Au1 Au 0.5000 0.5000 0.5000
# V	14.68	A^3/atom
# mass density	3.82	g/cm3

---

*B*
# Na3H4Au PBE-GGA optimized geometry
data_Na3H4Au
_space_group_name_H-M_alt 'P m n 21'
_space_group_IT_number 31
_cell_length_a 6.8488
_cell_length_b 6.1033
_cell_length_c 5.6146
_cell_angle_alpha 90.00
_cell_angle_beta 90.00
_cell_angle_gamma 90.00
loop_
_space_group_symop_operation_xyz
'x,y,z'
'-x+1/2,-y,z+1/2'
'-x,y,z'
'x+1/2,-y,z+1/2'
loop_
_atom_site_label
_atom_site_type_symbol
_atom_site_fract_x
_atom_site_fract_y
_atom_site_fract_z
Na1 Na 0.0000 0.1017 0.0000
Na2 Na 0.2416 0.3323 0.5048
H1 H 0.0000 0.0865 0.5835
H2 H 0.0000 0.7834 0.1966
H3 H 0.2281 0.6941 0.6018
Au1 Au 0.0000 0.7962 0.5154
# V	14.67	A^3/atom
# mass density	3.82	g/cm3

---

Last place for stability: *A*